A plane-wave DFT calculation with PBE-GGA was carried out for an optimized crystal structure of NdAlCu2Ni2.

Values from the calculation:
**Raw total energy**: -29.29 eV for the cell shown
**SG**: Cmmm, No. 65

Cell lengths 5.0471, 5.0471, 4.0726 Å; angles 90.00, 90.00, 118.21 degrees
With the nearest neighbours (Å) after each atom.
Fractional positions:
Cu 0.6687 0.3313 0.0000  2 Al 2.51, 4 Ni 2.51
Nd 0.0000 0.0000 0.0000  6 Cu 2.87-2.98
Al 0.5000 0.5000 0.5000  4 Cu 2.51, 4 Ni 2.52
Ni 0.5000 0.0000 0.5000  4 Cu 2.51, 2 Al 2.52, 2 Ni 2.59
Cu 0.3313 0.6687 0.0000  2 Al 2.51, 4 Ni 2.51
Ni 0.0000 0.5000 0.5000  4 Cu 2.51, 2 Al 2.52, 2 Ni 2.59